This record from Alexandria describes a relaxed structure of ThScTe2Se. The functional is PBE.

Values from the calculation:
D(E_F), states/eV/cell: 4.5
Raw total energy, eV/atom: -5.962
SG: P4/nmm (129)
Formation energy (no corrections), eV per atom: -1.2584
Magnetization, Bohr magnetons per cell: 0.0

a = 4.408 Å, b = 4.408 Å, c = 14.549 Å
α = 90.00°, β = 90.00°, γ = 90.00°
Fractional coordinates of all 10 atoms:
Sc: 0.000 0.500 0.916
Sc: 0.500 0.000 0.084
Te: 0.500 0.000 0.885
Te: 0.500 0.000 0.286
Te: 0.000 0.500 0.115
Te: 0.000 0.500 0.714
Se: 0.500 0.500 0.500
Se: 0.000 0.000 0.500
Th: 0.500 0.000 0.633
Th: 0.000 0.500 0.367